# 1
A relaxed LaTiGa crystal. Source: Alexandria via LeMat-Bulk, functional GGA-PBE.

It has space group Fmmm (No. 69), with a = 4.622 Å, b = 10.968 Å, c = 11.250 Å, α = 90.00°, β = 90.00° and γ = 90.00°. The asymmetric unit holds La at (0.000, 0.000, 0.126), Ti at (0.250, 0.250, 0.250) and Ga at (0.000, 0.190, 0.500).

Its energy of formation from the pure elements is 0.056 eV per atom. As for the density of states at the Fermi level: 3.0 states/eV/f.u. The total magnetization is 0.000 μB/f.u.

# 2
A relaxed Ho4Tm7In crystal. Source: Alexandria via LeMat-Bulk, functional GGA-PBE.

It has space group P-1 (No. 2), with a = 6.439 Å, b = 6.605 Å, c = 8.762 Å, α = 83.93°, β = 77.07° and γ = 81.12°. The asymmetric unit holds Ho at (0.125, 0.309, 0.289), Ho at (0.190, 0.798, 0.342), Tm at (0.036, 0.246, 0.955), Tm at (0.313, 0.395, 0.611), Tm at (0.346, 0.886, 0.686), Tm at (0.500, 0.500, 0.000) and In at (0.500, 0.000, 0.000).

Its energy of formation from the pure elements is -0.017 eV per atom. As for the density of states at the Fermi level: 15.4 states/eV/f.u. The total magnetization is 0.000 μB/f.u.

# 3
A relaxed YAg3Ge crystal. Source: Alexandria via LeMat-Bulk, functional GGA-PBE.

It has space group Pm-3m (No. 221), with a = 4.877 Å, b = 4.877 Å, c = 4.877 Å, α = 90.00°, β = 90.00° and γ = 90.00°. The asymmetric unit holds Y at (0.000, 0.000, 0.000), Ag at (0.000, 0.500, 0.500) and Ge at (0.500, 0.500, 0.500).

Its energy of formation from the pure elements is 0.157 eV per atom. As for the density of states at the Fermi level: 4.6 states/eV/f.u. The total magnetization is 0.000 μB/f.u.

# 4
A relaxed CsBeCd3 crystal. Source: Alexandria via LeMat-Bulk, functional GGA-PBE.

It has space group Pm-3m (No. 221), with a = 5.162 Å, b = 5.162 Å, c = 5.162 Å, α = 90.00°, β = 90.00° and γ = 90.00°. The asymmetric unit holds Cs at (0.000, 0.000, 0.000), Be at (0.500, 0.500, 0.500) and Cd at (0.000, 0.500, 0.500).

Its energy of formation from the pure elements is 0.200 eV per atom. As for the density of states at the Fermi level: 2.6 states/eV/f.u. The total magnetization is 0.000 μB/f.u.

# 5
A relaxed PmPrErTm crystal. Source: Alexandria via LeMat-Bulk, functional GGA-PBE.

It has space group Cm (No. 8), with a = 12.423 Å, b = 5.865 Å, c = 3.793 Å, α = 90.00°, β = 107.20° and γ = 90.00°. The asymmetric unit holds Pm at (0.000, 0.000, 0.000), Pr at (0.269, 0.000, 0.818), Er at (0.252, 0.500, 0.283) and Tm at (0.017, 0.500, 0.533).

Its energy of formation from the pure elements is 0.106 eV per atom. As for the density of states at the Fermi level: 7.0 states/eV/f.u. The total magnetization is 0.002 μB/f.u.

# 6
A relaxed BeIr3N crystal. Source: Alexandria via LeMat-Bulk, functional GGA-PBE.

It has space group Pm-3m (No. 221), with a = 4.029 Å, b = 4.029 Å, c = 4.029 Å, α = 90.00°, β = 90.00° and γ = 90.00°. The asymmetric unit holds Be at (0.000, 0.000, 0.000), Ir at (0.000, 0.500, 0.500) and N at (0.500, 0.500, 0.500).

As for the density of states at the Fermi level: 4.2 states/eV/f.u. The calculation puts the energy at -7.120 eV per atom. The total magnetization is 0.000 μB/f.u.

Repeat the second record exactly.
A relaxed Ho4Tm7In crystal. Source: Alexandria via LeMat-Bulk, functional GGA-PBE.

It has space group P-1 (No. 2), with a = 6.439 Å, b = 6.605 Å, c = 8.762 Å, α = 83.93°, β = 77.07° and γ = 81.12°. The asymmetric unit holds Ho at (0.125, 0.309, 0.289), Ho at (0.190, 0.798, 0.342), Tm at (0.036, 0.246, 0.955), Tm at (0.313, 0.395, 0.611), Tm at (0.346, 0.886, 0.686), Tm at (0.500, 0.500, 0.000) and In at (0.500, 0.000, 0.000).

Its energy of formation from the pure elements is -0.017 eV per atom. As for the density of states at the Fermi level: 15.4 states/eV/f.u. The total magnetization is 0.000 μB/f.u.